Entry 1:
Entry from Alexandria via LeMat-Bulk: a relaxed structure of Pm2Nd3Si4 (PBE-GGA).

Spin magnetization   0.00 Bohr magnetons per cell
SG   P2_1/c, No. 14
ΔE_f (raw)   -6.1 eV/f.u.

Cell lengths 7.8045, 7.8409, 7.9009 Å; angles 90.00, 90.00, 104.70 degrees
Positions (direct):
Si: 0.3917 0.0851 0.9771
Nd: 0.5000 0.5000 0.0000
Si: 0.6153 0.5070 0.6148
Si: 0.3847 0.4930 0.3852
Pm: 0.8967 0.7916 0.8128
Nd: 0.0000 0.5000 0.5000
Pm: 0.6033 0.2084 0.3128
Si: 0.1083 0.9149 0.4771
Pm: 0.3967 0.7916 0.6872
Si: 0.8917 0.0851 0.5229
Nd: 0.7446 0.7615 0.3169
Si: 0.1153 0.5070 0.8852
Si: 0.6083 0.9149 0.0229
Nd: 0.2446 0.7615 0.1831
Nd: 0.7554 0.2385 0.8169
Pm: 0.1033 0.2084 0.1872
Si: 0.8847 0.4930 0.1148
Nd: 0.2554 0.2385 0.6831

***

Entry 2:
Entry from Alexandria via LeMat-Bulk: a relaxed structure of Dy2Ga3Ni2 (PBE-GGA).

Spin magnetization   0.00 Bohr magnetons per cell
SG   C2/m, No. 12
Energy relative to the elements   -599.6 meV per atom

Cell lengths 4.0557, 5.4327, 6.7856 Å; angles 114.35, 90.00, 111.92 degrees
Positions (direct):
Ga: 0.3654 0.7307 0.5570
Ni: 0.8659 0.7318 0.7916
Dy: 0.1438 0.2876 0.7782
Ga: 0.5000 0.0000 0.0000
Ni: 0.1341 0.2682 0.2084
Ga: 0.6346 0.2693 0.4430
Dy: 0.8562 0.7124 0.2218

***

Entry 3:
Entry from Alexandria via LeMat-Bulk: a relaxed structure of Si2AgHg (PBE-GGA).

Spin magnetization   0.00 Bohr magnetons per cell
SG   Immm, No. 71
ΔE_f (raw)   1.9 eV/f.u.

Cell lengths 6.2552, 6.2552, 6.2552 Å; angles 154.47, 132.67, 54.54 degrees
Positions (direct):
Si: 0.9692 0.9692 0.0000
Hg: 0.2500 0.7500 0.5000
Ag: 0.7500 0.2500 0.5000
Si: 0.5308 0.5308 0.0000

***

Entry 4:
Entry from Alexandria via LeMat-Bulk: a relaxed structure of KNaMg2Ag (PBE-GGA).

Spin magnetization   0.00 Bohr magnetons per cell
SG   P4/mmm, No. 123
Energy relative to the elements   57.1 meV per atom

Cell lengths 5.3434, 5.3434, 5.8063 Å; angles 90.00, 90.00, 90.00 degrees
Positions (direct):
Ag: 0.0000 0.0000 0.0000
Mg: 0.0000 0.5000 0.0000
Na: 0.0000 0.0000 0.5000
K: 0.5000 0.5000 0.5000
Mg: 0.5000 0.0000 0.0000

***

Entry 5:
Entry from Alexandria via LeMat-Bulk: a relaxed structure of TaFeAu (PBE-GGA).

Spin magnetization   2.53 Bohr magnetons per cell
Energy above the lowest structure with this stoichiometry   0.786 eV per formula unit
SG   P3m1, No. 156
Energy relative to the elements   238.8 meV per atom

Cell lengths 2.8497, 2.8497, 6.9762 Å; angles 90.00, 90.00, 120.00 degrees
Last column: magnetic moment on the atom in μB.
Positions (direct):
Au: 0.0000 0.0000 0.0115  0.04
Ta: 0.3333 0.6667 0.6574  -0.11
Fe: 0.6667 0.3333 0.3312  2.69

***

Entry 6:
Entry from Alexandria via LeMat-Bulk: a relaxed structure of DyTm2O (PBE-GGA).

Spin magnetization   0.00 Bohr magnetons per cell
Energy above the lowest structure with this stoichiometry   2.187 eV per formula unit
SG   P4/mmm, No. 123
ΔE_f (raw)   -3.3 eV/f.u.

Cell lengths 3.1628, 3.1628, 8.5492 Å; angles 90.00, 90.00, 90.00 degrees
Positions (direct):
Tm: 0.0000 0.0000 0.1791
O: 0.5000 0.5000 0.0000
Tm: 0.0000 0.0000 0.8209
Dy: 0.5000 0.5000 0.5000

***

Entry 7:
Entry from Alexandria via LeMat-Bulk: a relaxed structure of PmPaZnRu (PBE-GGA).

Spin magnetization   0.00 Bohr magnetons per cell
SG   F-43m, No. 216
Energy relative to the elements   -117.0 meV per atom

Cell lengths 4.9683, 4.9683, 4.9683 Å; angles 60.00, 60.00, 60.00 degrees
Positions (direct):
Ru: 0.7500 0.7500 0.7500
Pm: 0.0000 0.0000 0.0000
Zn: 0.2500 0.2500 0.2500
Pa: 0.5000 0.5000 0.5000

***

Entry 8:
Entry from Alexandria via LeMat-Bulk: a relaxed structure of InAs2I (PBE-GGA).

Spin magnetization   0.00 Bohr magnetons per cell
Energy above the lowest structure with this stoichiometry   0.000 eV per formula unit
SG   I-42d, No. 122
ΔE_f (raw)   1.7 eV/f.u.

Cell lengths 6.0979, 6.0979, 8.5755 Å; angles 69.17, 69.17, 90.00 degrees
Positions (direct):
As: 0.1559 0.6250 0.2500
In: 0.5000 0.5000 0.0000
As: 0.5941 0.1250 0.2500
I: 0.7500 0.2500 0.5000
In: 0.2500 0.7500 0.5000
As: 0.3750 0.4059 0.7500
I: 0.0000 0.0000 0.0000
As: 0.8750 0.8441 0.7500